Below is a relaxed Th6TlAu crystal, with properties calculated at the PBE-GGA level.

abc: 6.835 6.835 6.835
angles: 108.68 108.68 108.68
Positions (direct):
Th: 0.243 0.243 0.711
Th: 0.243 0.711 0.243
Th: 0.289 0.757 0.757
Th: 0.711 0.243 0.243
Th: 0.757 0.289 0.757
Th: 0.757 0.757 0.289
Tl: 0.000 0.000 0.000
Au: 0.500 0.500 0.500

DOS(E_F) = 12.41 states/eV/cell
ΔE_f = 0.081 eV/atom
energy = -0.2275 hartree per atom